[1]
Material: Ga2H2Rh
Method: DFT, PBE
State: relaxed

Lattice parameters (Å, degrees): 2.9036 2.9036 12.5667 90.00 90.00 90.00
With the nearest neighbours (Å) after each atom.
Space group I4/mmm (No. 139)
Unique sites:
Ga 0.0000 0.0000 0.1311 x4  4 H 2.08
H 0.0000 0.5000 0.2500 x4  4 H 2.05, 4 Ga 2.08
Rh 0.0000 0.0000 0.5000 x2  8 Ga 2.63, 4 Rh 2.90

theoretical density: 7.7 Mg/m³
energy: -3.974 eV per atom
energy above the most stable polymorph in this dataset: 230 meV/atom


[2]
Material: Be2InSe
Method: DFT, PBE
State: relaxed

Lattice parameters (Å, degrees): 4.3868 4.3868 3.4347 90.00 90.00 90.00
With the nearest neighbours (Å) after each atom.
Space group P4/mmm (No. 123)
Unique sites:
Be 0.0000 0.5000 0.0000 x2  4 Se 2.79, 4 In 2.79, 4 Be 3.10
In 0.0000 0.0000 0.5000 x1  8 Be 2.79, 4 Se 3.10
Se 0.5000 0.5000 0.5000 x1  8 Be 2.79, 4 In 3.10

theoretical density: 5.3 Mg/m³
energy: -2.770 eV per atom
energy above the most stable polymorph in this dataset: 500 meV/atom